No. 1
Below is Cs2TlAuF6 after structural relaxation, with properties calculated at the PBE-GGA level.

Properties
E_form (uncorrected) = -1.95 eV/atom

Unit cell a=6.4871 b=6.4871 c=6.7403 alpha=61.24 beta=61.24 gamma=90.00
With the nearest neighbours (Å) after each atom.
Fractional coordinates of all 10 atoms:
Cs 0.7500 0.2500 0.5000  12 F 3.25-3.37
Cs 0.2500 0.7500 0.5000  12 F 3.25-3.37
Tl 0.0000 0.0000 0.0000  6 F 2.21-2.27
Au 0.5000 0.5000 0.0000  4 F 2.31
F 0.2239 0.2239 0.5521  1 Tl 2.21
F 0.7761 0.7761 0.4479  1 Tl 2.21
F 0.2480 0.2480 0.0000  1 Tl 2.27, 1 Au 2.31
F 0.7520 0.7520 0.0000  1 Tl 2.27, 1 Au 2.31
F 0.7520 0.2480 0.0000  1 Tl 2.27, 1 Au 2.31
F 0.2480 0.7520 0.0000  1 Tl 2.27, 1 Au 2.31

---

No. 2
Below is Cs2YAuF after structural relaxation, with properties calculated at the PBE-GGA level.

Properties
Offset from the most stable computed form = 337 meV per atom
E_form (uncorrected) = -0.18 eV/atom

Unit cell a=7.6251 b=5.4084 c=7.6251 alpha=90.00 beta=90.00 gamma=90.00
With the nearest neighbours (Å) after each atom.
Fractional coordinates of all 5 atoms:
Cs 0.0000 0.0000 0.5000  2 Y 3.81
Cs 0.5000 0.0000 0.0000  2 Y 3.81
Y 0.0000 0.0000 0.0000  2 Au 2.70
Au 0.0000 0.5000 0.0000  2 Y 2.70
F 0.5000 0.5000 0.5000  8 Cs 4.67

---

No. 3
Below is Cs2YAuF6 after structural relaxation, with properties calculated at the PBE-GGA level.

Properties
E_form (uncorrected) = -2.82 eV/atom

Unit cell a=7.2399 b=7.2399 c=6.6905 alpha=57.24 beta=57.24 gamma=90.00
With the nearest neighbours (Å) after each atom.
Fractional coordinates of all 10 atoms:
Cs 0.7500 0.2500 0.5000  12 F 3.37-3.62
Cs 0.2500 0.7500 0.5000  12 F 3.37-3.62
Y 0.5000 0.5000 0.0000  6 F 2.17-2.23
Au 0.0000 0.0000 0.0000  2 F 2.08
F 0.2413 0.2413 0.5173  1 Au 2.08, 1 Y 2.23
F 0.7587 0.7587 0.4827  1 Au 2.08, 1 Y 2.23
F 0.2885 0.2885 0.0000  1 Y 2.17
F 0.7115 0.7115 0.0000  1 Y 2.17
F 0.7115 0.2885 0.0000  1 Y 2.17
F 0.2885 0.7115 0.0000  1 Y 2.17

---

No. 4
Below is Cs2YAuF after structural relaxation, with properties calculated at the PBE-GGA level.

Properties
Offset from the most stable computed form = 0 meV per atom
E_form (uncorrected) = -0.51 eV/atom

Unit cell a=5.2502 b=7.3223 c=5.2502 alpha=90.00 beta=90.00 gamma=90.00
With the nearest neighbours (Å) after each atom.
Fractional coordinates of all 5 atoms:
Cs 0.0000 0.0000 0.5000  2 F 2.63
Cs 0.5000 0.0000 0.0000  2 F 2.63
Y 0.5000 0.5000 0.5000  4 Au 3.71
Au 0.0000 0.5000 0.0000  2 F 3.66, 4 Y 3.71
F 0.0000 0.0000 0.0000  4 Cs 2.63

---

No. 5
Below is Cs2ZrAuF6 after structural relaxation, with properties calculated at the PBE-GGA level.

Properties
E_form (uncorrected) = -2.73 eV/atom

Unit cell a=7.0212 b=7.0212 c=7.0193 alpha=59.99 beta=59.99 gamma=90.00
With the nearest neighbours (Å) after each atom.
Fractional coordinates of all 10 atoms:
Cs 0.7500 0.2500 0.5000  12 F 3.54
Cs 0.2500 0.7500 0.5000  12 F 3.54
Au 0.0000 0.0000 0.0000  6 F 2.92
Zr 0.5000 0.5000 0.0000  6 F 2.04
F 0.2944 0.2944 0.4112  1 Zr 2.04
F 0.7056 0.7056 0.5888  1 Zr 2.04
F 0.2945 0.2945 0.0000  1 Zr 2.04
F 0.7055 0.7055 0.0000  1 Zr 2.04
F 0.7055 0.2945 0.0000  1 Zr 2.04
F 0.2945 0.7055 0.0000  1 Zr 2.04

---

No. 6
Below is CsFeAu2 after structural relaxation, with properties calculated at the PBE-GGA level.

Properties
Formation energy from the elements = 878 meV per atom

Unit cell a=5.1471 b=5.1471 c=5.1471 alpha=60.00 beta=60.00 gamma=60.00
With the nearest neighbours (Å) after each atom.
Fractional coordinates of all 4 atoms:
Cs 0.5000 0.5000 0.5000  8 Au 3.15
Au 0.2500 0.2500 0.2500  4 Fe 3.15, 4 Cs 3.15
Au 0.7500 0.7500 0.7500  4 Fe 3.15, 4 Cs 3.15
Fe 0.0000 0.0000 0.0000  8 Au 3.15

---

Short version: DFT total energy = -3.81; -2.84; -5.09; -3.18; -5.20; -3.09 eV per atom, in the order given.
Short version: volume = 20.783; 62.891; 22.578; 40.367; 24.461; 24.106 Å³/atom, in the order given.